Entry from Alexandria: crystalline KSrMnO4 at its relaxed geometry (PBE with a Hubbard U).

## Properties
**Final energy**: -6.09 eV per atom
**V**: 18.01 A^3/atom
**Crystal system**: monoclinic

a b c (Å): 6.0213 5.8039 7.4632
angles (deg): 90.00 104.80 90.00
Last column: nearest neighbours and their distance in Å.
Space group P2_1/m (No. 11)
Symmetry-distinct sites (fractional):
K 0.2111 0.2500 0.4329 (multiplicity 2)  6 O 2.80-3.07
Sr 0.2767 0.2500 0.9488 (multiplicity 2)  6 O 2.53-2.67
Mn 0.2647 0.7500 0.1885 (multiplicity 2)  4 O 1.71-1.72
O 0.0782 0.7500 0.3270 (multiplicity 2)  1 Mn 1.71
O 0.1082 0.7500 0.9610 (multiplicity 2)  1 Mn 1.72
O 0.4481 0.5171 0.2158 (multiplicity 4)  1 Mn 1.72